[1]
The following is a PBE calculation of Sc3GaCo2 after structural relaxation, from Alexandria via LeMat-Bulk.

Geometry as extended XYZ:
```
6
Lattice="3.1820 0.0000 0.0000 0.0000 3.1820 0.0000 0.0000 0.0000 9.7705" Properties=species:S:1:pos:R:3 pbc="T T T"
Sc 0.0000 0.0000 0.0000
Sc 0.0000 0.0000 3.0634
Sc 0.0000 0.0000 6.7072
Ga 1.5910 1.5910 4.8853
Co 1.5910 1.5910 1.5829
Co 1.5910 1.5910 8.1876
```

Energy   -6.494 eV/atom

[2]
The following is a PBE calculation of Sc4Ga3Co after structural relaxation, from Alexandria via LeMat-Bulk.

Geometry as extended XYZ:
```
8
Lattice="3.4756 0.0000 0.0000 0.0000 4.1923 0.0000 0.0000 0.0000 10.3192" Properties=species:S:1:pos:R:3 pbc="T T T"
Sc 0.0000 0.0000 0.0000
Sc 0.0000 2.0961 2.7878
Sc 1.7378 0.0000 4.7216
Sc 1.7378 2.0961 8.1055
Ga 0.0000 0.0000 7.2779
Ga 0.0000 2.0961 5.6899
Ga 1.7378 2.0961 0.5875
Co 1.7378 0.0000 2.0680
```

Polymorph energy (0 for the lowest one)   27 meV per atom

[3]
The following is a PBE calculation of Sc3Ga2Co7 after structural relaxation, from Alexandria via LeMat-Bulk.

Geometry as extended XYZ:
```
12
Lattice="2.4902 1.4377 7.6909 -2.4902 1.4377 7.6909 0.0000 -2.8754 7.6909" Properties=species:S:1:pos:R:3 pbc="T T T"
Sc 0.0000 0.0000 0.0000
Sc 0.0000 0.0000 3.2394
Sc 0.0000 0.0000 19.8332
Ga 0.0000 0.0000 7.7105
Ga 0.0000 0.0000 15.3621
Co -1.2613 -0.7282 9.6611
Co 0.0000 -1.4564 13.4116
Co -1.2613 0.7282 13.4116
Co 0.0000 0.0000 11.5363
Co 1.2613 -0.7282 9.6611
Co 0.0000 1.4565 9.6611
Co 1.2613 0.7282 13.4116
```

Energy   -6.589 eV/atom

[4]
The following is a PBE calculation of ScGa5Co6 after structural relaxation, from Alexandria via LeMat-Bulk.

Geometry as extended XYZ:
```
12
Lattice="2.0543 -6.1764 0.0000 2.0543 6.1764 0.0000 0.0000 0.0000 5.8687" Properties=species:S:1:pos:R:3 pbc="T T T"
Sc 0.0000 0.0000 0.0000
Ga 0.0000 0.0000 2.9343
Ga 2.0543 2.0424 2.9343
Ga 2.0543 2.0217 0.0000
Ga 2.0543 -2.0217 0.0000
Ga 2.0543 -2.0424 2.9343
Co 2.0543 4.0512 1.4982
Co 2.0543 4.0512 4.3705
Co 2.0543 0.0000 1.5562
Co 2.0543 0.0000 4.3125
Co 2.0543 -4.0512 1.4982
Co 2.0543 -4.0512 4.3705
```

Energy   -5.681 eV/atom

[5]
The following is a PBE calculation of Sc3Ga4Co4 after structural relaxation, from Alexandria via LeMat-Bulk.

Geometry as extended XYZ:
```
11
Lattice="-2.0411 3.1194 6.6111 2.0411 -3.1194 6.6111 2.0411 3.1194 -6.6111" Properties=species:S:1:pos:R:3 pbc="T T T"
Sc 0.0000 0.0000 0.0000
Sc 2.0411 0.0000 4.7916
Sc 0.0000 3.1194 1.8195
Ga 0.0000 0.0000 2.7514
Ga 2.0411 1.8726 0.0000
Ga 0.0000 1.2469 6.6111
Ga 0.0000 0.0000 10.4708
Co 2.0411 1.2601 -2.3073
Co 2.0411 1.2601 2.3073
Co 0.0000 1.8594 4.3039
Co 0.0000 1.8594 8.9184
```

Energy   -5.831 eV/atom

[6]
The following is a PBE calculation of Sc2Ga3Co4 after structural relaxation, from Alexandria via LeMat-Bulk.

Geometry as extended XYZ:
```
18
Lattice="2.6332 -7.4313 0.0000 2.6332 7.4313 0.0000 0.0000 0.0000 6.5797" Properties=species:S:1:pos:R:3 pbc="T T T"
Sc 2.6332 5.9439 5.9875
Sc 2.6332 1.4874 2.6977
Sc 2.6332 -1.4874 3.8820
Sc 2.6332 -5.9439 0.5922
Ga 0.0000 0.0000 3.2898
Ga 1.3166 3.5711 4.9348
Ga 1.3166 -3.5711 1.6449
Ga 2.6332 0.0000 0.0000
Ga 3.9498 3.5711 4.9348
Ga 3.9498 -3.5711 1.6449
Co 2.6332 4.9875 3.3647
Co 1.3166 1.1255 4.9348
Co 1.3166 -1.1255 1.6449
Co 2.6332 2.4438 0.0748
Co 2.6332 -2.4438 6.5048
Co 3.9498 1.1255 4.9348
Co 3.9498 -1.1255 1.6449
Co 2.6332 -4.9875 3.2150
```

Polymorph energy (0 for the lowest one)   0 meV per atom

[7]
The following is a PBE calculation of ScGaCo3 after structural relaxation, from Alexandria via LeMat-Bulk.

Geometry as extended XYZ:
```
5
Lattice="4.3014 0.0000 0.0000 0.0000 4.3014 0.0000 0.0000 0.0000 4.3014" Properties=species:S:1:pos:R:3 pbc="T T T"
Sc 0.0000 0.0000 0.0000
Ga 2.1507 2.1507 2.1507
Co 0.0000 2.1507 2.1507
Co 2.1507 0.0000 2.1507
Co 2.1507 2.1507 0.0000
```

Polymorph energy (0 for the lowest one)   33 meV per atom

[8]
The following is a PBE calculation of Sc5Ga2Co after structural relaxation, from Alexandria via LeMat-Bulk.

Geometry as extended XYZ:
```
16
Lattice="6.1703 0.0000 0.0000 0.0000 11.3286 0.0000 0.0000 0.0000 4.4622" Properties=species:S:1:pos:R:3 pbc="T T T"
Sc 0.0000 0.0000 0.0000
Sc 0.7488 3.2295 0.0000
Sc 1.0809 6.6929 2.2311
Sc 2.0043 1.0286 2.2311
Sc 2.3363 8.8938 0.0000
Sc 3.0851 5.6643 0.0000
Sc 3.8340 2.4348 0.0000
Sc 4.1660 10.3000 2.2311
Sc 5.0894 4.6357 2.2311
Sc 5.4215 8.0991 0.0000
Ga 0.7423 9.5784 2.2311
Ga 2.3429 3.9141 2.2311
Ga 3.8274 7.4145 2.2311
Ga 5.4280 1.7502 2.2311
Co 0.0000 5.6643 0.0000
Co 3.0851 0.0000 0.0000
```

Energy   -6.044 eV/atom

[9]
The following is a PBE calculation of Sc3Ga2Co after structural relaxation, from Alexandria via LeMat-Bulk.

Geometry as extended XYZ:
```
24
Lattice="11.1272 0.0000 0.0000 0.0000 4.2357 0.0000 0.0000 0.0000 9.4882" Properties=species:S:1:pos:R:3 pbc="T T T"
Sc 0.5649 1.0589 1.2243
Sc 1.4576 3.1767 5.4977
Sc 2.6426 1.0589 7.6324
Sc 2.9210 3.1767 2.8883
Sc 4.1060 1.0589 0.7536
Sc 4.9987 3.1767 5.9684
Sc 6.1285 1.0589 3.5198
Sc 7.0212 3.1767 8.7346
Sc 8.2062 1.0589 6.5999
Sc 8.4846 3.1767 1.8558
Sc 9.6696 1.0589 3.9905
Sc 10.5623 3.1767 8.2639
Ga 0.0812 3.1767 3.0532
Ga 2.0961 3.1767 0.0033
Ga 3.4675 1.0589 4.7474
Ga 5.4824 1.0589 7.7973
Ga 5.6448 3.1767 1.6909
Ga 7.6597 3.1767 4.7408
Ga 9.0311 1.0589 9.4849
Ga 11.0460 1.0589 6.4350
Co 1.2897 1.0589 3.6737
Co 4.2739 3.1767 8.4178
Co 6.8533 1.0589 1.0704
Co 9.8375 3.1767 5.8145
```

Energy   -5.875 eV/atom

[10]
The following is a PBE calculation of ScGaCo after structural relaxation, from Alexandria via LeMat-Bulk.

Geometry as extended XYZ:
```
3
Lattice="4.2060 0.0000 0.0000 -2.1030 3.6425 0.0000 0.0000 0.0000 3.0883" Properties=species:S:1:pos:R:3 pbc="T T T"
Sc 0.0000 0.0000 0.0000
Ga 2.1030 1.2142 1.5441
Co 0.0000 2.4283 1.5441
```

Energy   -5.927 eV/atom

[11]
The following is a PBE calculation of Sc6Ga2Co after structural relaxation, from Alexandria via LeMat-Bulk.

Geometry as extended XYZ:
```
9
Lattice="-2.2959 3.2536 6.7358 2.2959 -3.2536 6.7358 2.2959 3.2536 -6.7358" Properties=species:S:1:pos:R:3 pbc="T T T"
Sc 2.2959 1.5699 -2.1062
Sc 0.0000 1.5018 0.0000
Sc 2.2959 1.5699 2.1062
Sc 0.0000 1.6837 4.6296
Sc 0.0000 5.0054 0.0000
Sc 0.0000 1.6837 8.8420
Ga 2.2959 0.0000 4.4777
Ga 0.0000 3.2536 2.2581
Co 2.2959 0.0000 0.0000
```

Energy   -5.903 eV/atom

[12]
The following is a PBE calculation of Sc2Ga5Co3 after structural relaxation, from Alexandria via LeMat-Bulk.

Geometry as extended XYZ:
```
20
Lattice="-4.6047 6.2374 2.6650 4.6047 -6.2374 2.6650 4.6047 6.2374 -2.6650" Properties=species:S:1:pos:R:3 pbc="T T T"
Sc 2.0258 1.9115 0.0000
Sc 2.0258 -1.9115 2.6650
Sc 2.5788 8.1490 0.0000
Sc 2.5788 4.3259 2.6650
Ga 4.6047 -2.4562 1.3325
Ga 6.3845 0.9529 0.0000
Ga 0.0000 0.0000 1.3325
Ga 1.7798 5.2846 0.0000
Ga 4.6047 2.4562 1.3325
Ga 0.0000 3.7813 1.3325
Ga 2.8248 0.9529 2.6650
Ga 0.0000 0.0000 3.9975
Ga -1.7798 5.2846 2.6650
Ga 0.0000 8.6936 1.3325
Co 3.9222 -4.3097 2.6650
Co 4.6047 0.0000 1.3325
Co 3.9222 4.3097 0.0000
Co 0.6825 1.9277 2.6650
Co 0.0000 6.2374 1.3325
Co 0.6825 10.5471 0.0000
```

Polymorph energy (0 for the lowest one)   0 meV per atom

[13]
The following is a PBE calculation of Sc2GaCo2 after structural relaxation, from Alexandria via LeMat-Bulk.

Geometry as extended XYZ:
```
10
Lattice="6.5013 0.0000 0.0000 0.0000 6.5013 0.0000 0.0000 0.0000 3.7546" Properties=species:S:1:pos:R:3 pbc="T T T"
Sc 1.1660 2.0846 0.0000
Sc 2.0846 5.3352 0.0000
Sc 4.4167 1.1660 0.0000
Sc 5.3352 4.4167 0.0000
Ga 0.0000 0.0000 1.8773
Ga 3.2506 3.2506 1.8773
Co 0.8064 4.0571 1.8773
Co 2.4442 0.8064 1.8773
Co 4.0571 5.6948 1.8773
Co 5.6948 2.4442 1.8773
```

Energy   -6.382 eV/atom

[14]
The following is a PBE calculation of Sc2Ga2Co after structural relaxation, from Alexandria via LeMat-Bulk.

Geometry as extended XYZ:
```
5
Lattice="-1.7300 1.7300 7.9321 1.7300 -1.7300 7.9321 1.7300 1.7300 -7.9321" Properties=species:S:1:pos:R:3 pbc="T T T"
Sc 0.0000 0.0000 1.4599
Sc 0.0000 0.0000 14.4044
Ga 1.7300 0.0000 3.9661
Ga 0.0000 1.7300 3.9661
Co 0.0000 0.0000 7.9321
```

Energy   -5.191 eV/atom

[15]
The following is a PBE calculation of Sc2GaCo after structural relaxation, from Alexandria via LeMat-Bulk.

Geometry as extended XYZ:
```
4
Lattice="-1.6687 1.6820 6.9836 1.6687 -1.6820 6.9836 1.6687 1.6820 -6.9836" Properties=species:S:1:pos:R:3 pbc="T T T"
Sc 0.0000 0.0000 2.3478
Sc 0.0000 0.0000 11.6193
Ga 0.0000 0.0000 6.9836
Co 0.0000 0.0000 0.0000
```

Energy   -5.755 eV/atom

[16]
The following is a PBE calculation of ScGa4Co4 after structural relaxation, from Alexandria via LeMat-Bulk.

Geometry as extended XYZ:
```
18
Lattice="5.4067 0.0000 0.0000 0.0000 5.4067 0.0000 0.0000 0.0000 8.7002" Properties=species:S:1:pos:R:3 pbc="T T T"
Sc 1.3517 4.0550 2.1750
Sc 4.0550 1.3517 6.5251
Ga 0.1033 1.3517 0.3762
Ga 1.3517 0.1033 4.7262
Ga 1.3517 2.6001 4.7262
Ga 2.6001 1.3517 0.3762
Ga 2.8066 4.0550 8.3240
Ga 4.0550 2.8066 3.9739
Ga 4.0550 5.3034 3.9739
Ga 5.3034 4.0550 8.3240
Co 0.1996 1.3517 2.8427
Co 1.3517 0.1996 7.1928
Co 1.3517 2.5038 7.1928
Co 2.5038 1.3517 2.8427
Co 2.9029 4.0550 5.8574
Co 4.0550 2.9029 1.5074
Co 4.0550 5.2071 1.5074
Co 5.2071 4.0550 5.8574
```

Energy   -5.450 eV/atom

[17]
The following is a PBE calculation of Sc2Ga3Co4 after structural relaxation, from Alexandria via LeMat-Bulk.

Geometry as extended XYZ:
```
9
Lattice="3.7599 -2.1121 0.0000 3.7599 2.1121 0.0000 -0.4353 0.0000 7.8824" Properties=species:S:1:pos:R:3 pbc="T T T"
Sc 1.2405 0.0000 1.7127
Sc 5.8441 0.0000 6.1696
Ga 0.8883 0.0000 4.6162
Ga 3.7599 0.0000 0.0000
Ga 6.1963 0.0000 3.2662
Co 0.8047 0.0000 7.0596
Co 3.3193 0.0000 5.0856
Co 3.7653 0.0000 2.7968
Co 6.2799 0.0000 0.8228
```

Polymorph energy (0 for the lowest one)   17 meV per atom

[18]
The following is a PBE calculation of Sc2GaCo after structural relaxation, from Alexandria via LeMat-Bulk.

Geometry as extended XYZ:
```
8
Lattice="-3.6306 3.6306 2.7726 3.6306 -3.6306 2.7726 3.6306 3.6306 -2.7726" Properties=species:S:1:pos:R:3 pbc="T T T"
Sc 1.8153 1.4611 -0.6931
Sc 2.1695 -1.8153 3.4657
Sc 1.8153 2.1695 2.0794
Sc 1.4611 5.4459 0.6931
Ga 3.6306 0.0000 1.3863
Ga 0.0000 0.0000 2.7726
Co 0.0000 0.0000 0.0000
Co 0.0000 3.6306 1.3863
```

Energy   -5.740 eV/atom

[19]
The following is a PBE calculation of Sc2Ga2Co after structural relaxation, from Alexandria via LeMat-Bulk.

Geometry as extended XYZ:
```
10
Lattice="5.0988 -1.8724 0.0000 5.0988 1.8724 0.0000 -4.2713 0.0000 9.2148" Properties=species:S:1:pos:R:3 pbc="T T T"
Sc -1.3579 0.0000 3.0367
Sc 1.4135 0.0000 1.1592
Sc 4.5128 0.0000 8.0556
Sc 7.2842 0.0000 6.1781
Ga 1.6426 0.0000 4.1064
Ga 4.3026 0.0000 1.0130
Ga 1.6237 0.0000 8.2018
Ga 4.2837 0.0000 5.1083
Co 0.1397 0.0000 6.1872
Co 5.7866 0.0000 3.0276
```

Energy   -5.711 eV/atom

[20]
The following is a PBE calculation of ScGaCo3 after structural relaxation, from Alexandria via LeMat-Bulk.

Geometry as extended XYZ:
```
10
Lattice="3.3715 -5.4918 0.0000 3.3715 5.4918 0.0000 0.0000 0.0000 4.3601" Properties=species:S:1:pos:R:3 pbc="T T T"
Sc 3.3715 4.6778 3.2701
Sc 3.3715 -4.6778 1.0900
Ga 3.3715 2.1010 3.2701
Ga 3.3715 -2.1010 1.0900
Co 2.2895 3.2537 1.0900
Co 4.4535 3.2537 1.0900
Co 3.3715 0.0000 0.0000
Co 3.3715 0.0000 2.1801
Co 2.2895 -3.2537 3.2701
Co 4.4535 -3.2537 3.2701
```

Polymorph energy (0 for the lowest one)   0 meV per atom

[21]
The following is a PBE calculation of Sc4GaCo after structural relaxation, from Alexandria via LeMat-Bulk.

Geometry as extended XYZ:
```
12
Lattice="3.9839 -5.8813 0.0000 3.9839 5.8813 0.0000 -1.6346 0.0000 5.2495" Properties=species:S:1:pos:R:3 pbc="T T T"
Sc 1.5574 3.9056 5.0057
Sc 1.3146 0.9071 3.1943
Sc 3.9586 3.9056 2.8685
Sc 2.1318 -0.9071 0.5696
Sc 4.2014 0.9071 4.6799
Sc 2.3746 -3.9056 2.3810
Sc 5.0187 -0.9071 2.0552
Sc 4.7758 -3.9056 0.2437
Ga 3.5752 1.4857 1.3124
Ga 2.7580 -1.4857 3.9371
Co 2.7580 5.8708 3.9371
Co 3.5752 -5.8708 1.3124
```

Polymorph energy (0 for the lowest one)   0 meV per atom

[22]
The following is a PBE calculation of ScGaCo after structural relaxation, from Alexandria via LeMat-Bulk.

Geometry as extended XYZ:
```
3
Lattice="-1.5369 1.5369 4.9039 1.5369 -1.5369 4.9039 1.5369 1.5369 -4.9039" Properties=species:S:1:pos:R:3 pbc="T T T"
Sc 0.0000 0.0000 0.0000
Ga 0.0000 0.0000 6.9133
Co 0.0000 0.0000 3.2484
```

Energy   -5.903 eV/atom

| no. | calculated volume (Å³/cell) |
| --- | --- |
| 1 | 98.9 |
| 2 | 150.4 |
| 3 | 165.2 |
| 4 | 148.9 |
| 5 | 168.4 |
| 6 | 257.5 |
| 7 | 79.6 |
| 8 | 311.9 |
| 9 | 447.2 |
| 10 | 47.3 |
| 11 | 201.3 |
| 12 | 306.2 |
| 13 | 158.7 |
| 14 | 95.0 |
| 15 | 78.4 |
| 16 | 254.3 |
| 17 | 125.2 |
| 18 | 146.2 |
| 19 | 175.9 |
| 20 | 161.5 |
| 21 | 246.0 |
| 22 | 46.3 |